Density functional theory data (GGA+U) for an optimized crystal structure of Ba3TmCo2O6.

```
data_Ba3TmCo2O6
_chemical_formula_sum 'Ba3 Tm1 Co2 O6'
_cell_length_a 6.1420
_cell_length_b 6.1420
_cell_length_c 6.9393
_cell_angle_alpha 90.00
_cell_angle_beta 90.00
_cell_angle_gamma 120.00
_symmetry_space_group_name_H-M 'P -3 m 1'
_symmetry_Int_Tables_number 164
_symmetry_space_group_name_Hall '-P 3 2"'
loop_
_atom_site_label
_atom_site_type_symbol
_atom_site_fract_x
_atom_site_fract_y
_atom_site_fract_z
Ba1 Ba 0.0000 0.0000 0.0000
Ba2 Ba 0.3333 0.6667 0.6610
Tm1 Tm 0.0000 0.0000 0.5000
Co1 Co 0.3333 0.6667 0.2238
O1 O 0.1650 0.3299 0.3048
```

Computed properties:
Crystal system   trigonal
Spin magnetization   0.417 μB/atom
Theoretical density   5.8 g/cm³
DFT total energy   -6.271 eV/atom